Record 1
# RbP2IrPt | the Alexandria database | PBE | relaxed
# **SG**: No. 123
# **Total DFT energy (no corrections)**: -2.40 eV/atom
data_RbP2IrPt
_chemical_formula_sum 'Rb1 P2 Ir1 Pt1'
_cell_length_a 5.053
_cell_length_b 4.935
_cell_length_c 5.053
_cell_angle_alpha 90.00
_cell_angle_beta 90.00
_cell_angle_gamma 90.00
_space_group_name_H-M_alt 'P 1'
_space_group_IT_number 1
_space_group_name_Hall 'P 1'
loop_
_atom_site_label
_atom_site_type_symbol
_atom_site_fract_x
_atom_site_fract_y
_atom_site_fract_z
_atom_site_occupancy
Ir1 Ir 0.500 0.500 0.500 1
P1 P 0.500 0.000 0.000 1
P2 P 0.000 0.000 0.500 1
Rb1 Rb 0.000 0.000 0.000 1
Pt1 Pt 0.000 0.500 0.000 1

---

Record 2
# AcLa2Pm5Nd | the Alexandria database | PBE | relaxed
# **SG**: No. 140
# **Total DFT energy (no corrections)**: -4.48 eV/atom
data_AcLa2Pm5Nd
_chemical_formula_sum 'Ac2 La4 Pm10 Nd2'
_cell_length_a 8.965
_cell_length_b 8.965
_cell_length_c 10.328
_cell_angle_alpha 115.72
_cell_angle_beta 115.72
_cell_angle_gamma 90.00
_space_group_name_H-M_alt 'P 1'
_space_group_IT_number 1
_space_group_name_Hall 'P 1'
loop_
_atom_site_label
_atom_site_type_symbol
_atom_site_fract_x
_atom_site_fract_y
_atom_site_fract_z
_atom_site_occupancy
Pm1 Pm 0.648 0.148 0.727 1
Ac1 Ac 0.250 0.750 0.500 1
Pm2 Pm 0.500 0.500 0.000 1
La1 La 0.617 0.117 0.000 1
Pm3 Pm 0.579 0.648 0.727 1
Pm4 Pm 0.148 0.079 0.727 1
Pm5 Pm 0.000 0.000 0.000 1
La2 La 0.117 0.383 0.000 1
Nd1 Nd 0.750 0.750 0.500 1
Nd2 Nd 0.250 0.250 0.500 1
La3 La 0.383 0.883 0.000 1
Pm6 Pm 0.852 0.921 0.273 1
La4 La 0.883 0.617 0.000 1
Pm7 Pm 0.352 0.852 0.273 1
Pm8 Pm 0.079 0.579 0.727 1
Pm9 Pm 0.921 0.421 0.273 1
Ac2 Ac 0.750 0.250 0.500 1
Pm10 Pm 0.421 0.352 0.273 1